[1]
# MnOsW2 | Alexandria via LeMat-Bulk | PBE-GGA | optimized geometry
# Crystal system: orthorhombic
# Energy relative to the lowest polymorph listed for this composition (meV per atom): 72
# DOS at the Fermi energy (states/eV/f.u.): 4.1
data_MnOsW2
_space_group_name_H-M_alt 'I m m 2'
_space_group_IT_number 44
_cell_length_a 3.128
_cell_length_b 4.381
_cell_length_c 8.690
_cell_angle_alpha 90.00
_cell_angle_beta 90.00
_cell_angle_gamma 90.00
loop_
_space_group_symop_operation_xyz
'x,y,z'
'-x,-y,z'
'-x,y,z'
'x,-y,z'
'x+1/2,y+1/2,z+1/2'
'-x+1/2,-y+1/2,z+1/2'
'-x+1/2,y+1/2,z+1/2'
'x+1/2,-y+1/2,z+1/2'
loop_
_atom_site_label
_atom_site_type_symbol
_atom_site_fract_x
_atom_site_fract_y
_atom_site_fract_z
_atom_site_occupancy
Mn1 Mn 0.000 0.000 0.000 1
Os1 Os 0.000 0.500 0.245 1
W1 W 0.000 0.000 0.490 1
W2 W 0.000 0.500 0.742 1

[2]
# Ho5TlOs2 | Alexandria via LeMat-Bulk | PBE-GGA | optimized geometry
# Crystal system: tetragonal
# DOS at the Fermi energy (states/eV/f.u.): 4.7
data_Ho5TlOs2
_space_group_name_H-M_alt 'I 4/m c m'
_space_group_IT_number 140
_space_group_name_Hall '-I 4 2c'
_cell_length_a 7.706
_cell_length_b 7.706
_cell_length_c 13.665
_cell_angle_alpha 90.00
_cell_angle_beta 90.00
_cell_angle_gamma 90.00
loop_
_atom_site_label
_atom_site_type_symbol
_atom_site_fract_x
_atom_site_fract_y
_atom_site_fract_z
_atom_site_occupancy
Ho1 Ho 0.000 0.000 0.000 1
Ho2 Ho 0.160 0.340 0.131 1
Tl1 Tl 0.000 0.000 0.250 1
Os1 Os 0.139 0.361 0.500 1

[3]
# SrNpPtO6 | Alexandria via LeMat-Bulk | PBE-GGA | optimized geometry
# Crystal system: trigonal
data_SrNpPtO6
_space_group_name_H-M_alt 'P -3 1 c'
_space_group_IT_number 163
_space_group_name_Hall '-P 3 2c'
_cell_length_a 5.3564
_cell_length_b 5.3564
_cell_length_c 11.2084
_cell_angle_alpha 90.00
_cell_angle_beta 90.00
_cell_angle_gamma 120.00
loop_
_atom_site_label
_atom_site_type_symbol
_atom_site_fract_x
_atom_site_fract_y
_atom_site_fract_z
_atom_site_occupancy
Sr1 Sr 0.0000 0.0000 0.0000 1
Np1 Np 0.3333 0.6667 0.2500 1
Pt1 Pt 0.3333 0.6667 0.7500 1
O1 O 0.0064 0.3621 0.6474 1

[4]
# SrMn5As4 | Alexandria via LeMat-Bulk | PBE-GGA | optimized geometry
# Crystal system: tetragonal
# DOS at the Fermi energy (states/eV/f.u.): 8.8
data_SrMn5As4
_space_group_name_H-M_alt 'P 4/m m m'
_space_group_IT_number 123
_space_group_name_Hall '-P 4 2'
_cell_length_a 7.155
_cell_length_b 7.155
_cell_length_c 3.723
_cell_angle_alpha 90.00
_cell_angle_beta 90.00
_cell_angle_gamma 90.00
loop_
_atom_site_label
_atom_site_type_symbol
_atom_site_fract_x
_atom_site_fract_y
_atom_site_fract_z
_atom_site_occupancy
Sr1 Sr 0.000 0.000 0.000 1
Mn1 Mn 0.232 0.500 0.000 1
Mn2 Mn 0.500 0.500 0.500 1
As1 As 0.259 0.259 0.500 1

[5]
# Tl2SiPb | Alexandria via LeMat-Bulk | PBE-GGA | optimized geometry
# Crystal system: orthorhombic
# Energy relative to the lowest polymorph listed for this composition (meV per atom): 102
# DOS at the Fermi energy (states/eV/f.u.): 2.1
data_Tl2SiPb
_space_group_name_H-M_alt 'C m m m'
_space_group_IT_number 65
_space_group_name_Hall '-C 2 2'
_cell_length_a 6.357
_cell_length_b 10.648
_cell_length_c 3.261
_cell_angle_alpha 90.00
_cell_angle_beta 90.00
_cell_angle_gamma 90.00
loop_
_atom_site_label
_atom_site_type_symbol
_atom_site_fract_x
_atom_site_fract_y
_atom_site_fract_z
_atom_site_occupancy
Tl1 Tl 0.250 0.250 0.000 1
Si1 Si 0.000 0.000 0.500 1
Pb1 Pb 0.000 0.500 0.500 1

[6]
# TbBiTe | Alexandria via LeMat-Bulk | PBE-GGA | optimized geometry
# Crystal system: tetragonal
# DOS at the Fermi energy (states/eV/f.u.): 1.3
data_TbBiTe
_space_group_name_H-M_alt 'I 4/m m m'
_space_group_IT_number 139
_space_group_name_Hall '-I 4 2'
_cell_length_a 4.400
_cell_length_b 4.400
_cell_length_c 18.864
_cell_angle_alpha 90.00
_cell_angle_beta 90.00
_cell_angle_gamma 90.00
loop_
_atom_site_label
_atom_site_type_symbol
_atom_site_fract_x
_atom_site_fract_y
_atom_site_fract_z
_atom_site_occupancy
Tb1 Tb 0.000 0.000 0.144 1
Bi1 Bi 0.000 0.500 0.000 1
Te1 Te 0.000 0.000 0.312 1

[7]
# NaPdSe3 | Alexandria via LeMat-Bulk | PBE-GGA | optimized geometry
# Crystal system: cubic
# Energy relative to the lowest polymorph listed for this composition (meV per atom): 0
# DOS at the Fermi energy (states/eV/f.u.): 6.2
data_NaPdSe3
_space_group_name_H-M_alt 'P m -3 m'
_space_group_IT_number 221
_space_group_name_Hall '-P 4 2 3'
_cell_length_a 5.033
_cell_length_b 5.033
_cell_length_c 5.033
_cell_angle_alpha 90.00
_cell_angle_beta 90.00
_cell_angle_gamma 90.00
loop_
_atom_site_label
_atom_site_type_symbol
_atom_site_fract_x
_atom_site_fract_y
_atom_site_fract_z
_atom_site_occupancy
Na1 Na 0.000 0.000 0.000 1
Pd1 Pd 0.500 0.500 0.500 1
Se1 Se 0.000 0.500 0.500 1

[8]
# KCdSnPb | Alexandria via LeMat-Bulk | PBE-GGA | optimized geometry
# Crystal system: cubic
# DOS at the Fermi energy (states/eV/f.u.): 3.1
data_KCdSnPb
_space_group_name_H-M_alt 'F -4 3 m'
_space_group_IT_number 216
_space_group_name_Hall 'F -4 2 3'
_cell_length_a 7.874
_cell_length_b 7.874
_cell_length_c 7.874
_cell_angle_alpha 90.00
_cell_angle_beta 90.00
_cell_angle_gamma 90.00
loop_
_atom_site_label
_atom_site_type_symbol
_atom_site_fract_x
_atom_site_fract_y
_atom_site_fract_z
_atom_site_occupancy
K1 K 0.000 0.000 0.000 1
Cd1 Cd 0.250 0.250 0.250 1
Sn1 Sn 0.000 0.000 0.500 1
Pb1 Pb 0.250 0.250 0.750 1

[9]
# Ba2ZnC | Alexandria via LeMat-Bulk | PBE-GGA | optimized geometry
# Crystal system: cubic
# Energy relative to the lowest polymorph listed for this composition (meV per atom): 14
# DOS at the Fermi energy (states/eV/f.u.): 0.2
data_Ba2ZnC
_space_group_name_H-M_alt 'F m -3 m'
_space_group_IT_number 225
_space_group_name_Hall '-F 4 2 3'
_cell_length_a 7.612
_cell_length_b 7.612
_cell_length_c 7.612
_cell_angle_alpha 90.00
_cell_angle_beta 90.00
_cell_angle_gamma 90.00
loop_
_atom_site_label
_atom_site_type_symbol
_atom_site_fract_x
_atom_site_fract_y
_atom_site_fract_z
_atom_site_occupancy
Ba1 Ba 0.250 0.250 0.250 1
Zn1 Zn 0.000 0.000 0.000 1
C1 C 0.000 0.000 0.500 1

[10]
# Cs2PuCdO4 | Alexandria via LeMat-Bulk | PBE-GGA | optimized geometry
# Crystal system: monoclinic
# DOS at the Fermi energy (states/eV/f.u.): 2.2
data_Cs2PuCdO4
_space_group_name_H-M_alt 'P 1 2/m 1'
_space_group_IT_number 10
_cell_length_a 7.420
_cell_length_b 3.538
_cell_length_c 7.489
_cell_angle_alpha 90.00
_cell_angle_beta 92.34
_cell_angle_gamma 90.00
loop_
_space_group_symop_operation_xyz
'x,y,z'
'-x,-y,-z'
'-x,y,-z'
'x,-y,z'
loop_
_atom_site_label
_atom_site_type_symbol
_atom_site_fract_x
_atom_site_fract_y
_atom_site_fract_z
_atom_site_occupancy
Cs1 Cs 0.000 0.000 0.000 1
Cs2 Cs 0.500 0.500 0.500 1
Pu1 Pu 0.000 0.000 0.500 1
Cd1 Cd 0.500 0.500 0.000 1
O1 O 0.103 0.500 0.353 1
O2 O 0.210 0.000 0.652 1

[11]
# Al2SnAu2 | Alexandria via LeMat-Bulk | PBE-GGA | optimized geometry
# Crystal system: tetragonal
# Energy relative to the lowest polymorph listed for this composition (meV per atom): 122
# DOS at the Fermi energy (states/eV/f.u.): 1.1
data_Al2SnAu2
_space_group_name_H-M_alt 'P 4/m b m'
_space_group_IT_number 127
_space_group_name_Hall '-P 4 2ab'
_cell_length_a 8.144
_cell_length_b 8.144
_cell_length_c 2.902
_cell_angle_alpha 90.00
_cell_angle_beta 90.00
_cell_angle_gamma 90.00
loop_
_atom_site_label
_atom_site_type_symbol
_atom_site_fract_x
_atom_site_fract_y
_atom_site_fract_z
_atom_site_occupancy
Al1 Al 0.131 0.369 0.000 1
Sn1 Sn 0.000 0.000 0.000 1
Au1 Au 0.162 0.662 0.500 1

[12]
# MoCl3 | Alexandria via LeMat-Bulk | PBE-GGA | optimized geometry
# Crystal system: cubic
# Energy relative to the lowest polymorph listed for this composition (meV per atom): 1334
# DOS at the Fermi energy (states/eV/f.u.): 6.6
data_MoCl3
_space_group_name_H-M_alt 'P m -3 n'
_space_group_IT_number 223
_space_group_name_Hall '-P 4n 2 3'
_cell_length_a 5.437
_cell_length_b 5.437
_cell_length_c 5.437
_cell_angle_alpha 90.00
_cell_angle_beta 90.00
_cell_angle_gamma 90.00
loop_
_atom_site_label
_atom_site_type_symbol
_atom_site_fract_x
_atom_site_fract_y
_atom_site_fract_z
_atom_site_occupancy
Mo1 Mo 0.000 0.000 0.000 1
Cl1 Cl 0.000 0.250 0.500 1

E values, unit eV/atom, following the record order: -11.397 -6.292 -7.733 -6.783 -3.092 -4.872 -3.463 -2.442 -2.882 -6.424 -3.740 -3.616.